(1)
Li2AcGa6 after structural relaxation. Source: Alexandria via LeMat-Bulk, functional PBE.

Output
Offset from the most stable computed form, meV/atom: 107
Total magnetic moment, μB/cell: 0.00
ΔH_f (0 K), eV/atom: -0.236
Crystal system: hexagonal

The structure in POSCAR format:
```
Li2AcGa6
1.0
3.675 0.000 0.000
0.000 6.809 -3.931
0.000 0.000 7.862
Li Ac Ga
2 1 6
direct
0.000 0.333 0.667
0.000 0.667 0.333
0.000 0.000 0.000
0.500 0.343 0.343
0.500 0.657 0.657
0.500 0.000 0.657
0.500 0.657 0.000
0.500 0.343 0.000
0.500 0.000 0.343
```

(2)
NbCdO2F after structural relaxation. Source: Alexandria via LeMat-Bulk, functional PBE.

Output
Total magnetic moment, μB/cell: 2.32
Crystal system: tetragonal
Formation energy from raw total energies, eV/f.u.: -1.48

The structure in POSCAR format:
```
NbCdO2F
1.0
4.247 0.000 0.000
0.000 4.247 0.000
0.000 0.000 4.146
Nb F O Cd
1 1 2 1
direct
0.500 0.500 0.500
0.000 0.000 0.500
0.000 0.500 0.000
0.500 0.000 0.000
0.000 0.000 0.000
```

(3)
K4Cd2Pb after structural relaxation. Source: Alexandria via LeMat-Bulk, functional PBE.

Output
Total magnetic moment, μB/cell: 0.00
ΔH_f (0 K), eV/atom: -0.075
Crystal system: triclinic

The structure in POSCAR format:
```
K4Cd2Pb
1.0
-1.106 2.471 6.726
-7.957 0.832 1.604
-2.327 -9.314 5.620
Pb K Cd
2 8 4
direct
0.402 0.983 0.173
0.170 0.767 0.077
0.778 0.111 0.911
0.793 0.639 0.339
0.293 0.136 0.842
0.829 0.126 0.270
0.316 0.638 0.761
0.278 0.614 0.408
0.742 0.624 0.980
0.255 0.112 0.489
0.878 0.487 0.663
0.693 0.263 0.587
0.286 0.375 0.125
0.786 0.875 0.625
```

(4)
Zr2ZnIn after structural relaxation. Source: Alexandria via LeMat-Bulk, functional PBE.

Output
Total magnetic moment, μB/cell: 0.00
ΔH_f (0 K), eV/atom: -0.269
Crystal system: monoclinic

The structure in POSCAR format:
```
Zr2ZnIn
1.0
4.194 0.000 0.000
0.000 3.114 0.003
0.000 3.087 6.274
Zn Zr In
1 2 1
direct
0.500 0.750 0.750
0.000 0.011 0.989
0.000 0.489 0.511
0.500 0.250 0.250
```

(5)
ZrBrCl2 after structural relaxation. Source: Alexandria via LeMat-Bulk, functional PBE.

Output
Offset from the most stable computed form, meV/atom: 507
Total magnetic moment, μB/cell: 0.00
Crystal system: orthorhombic
Formation energy from raw total energies, eV/f.u.: -4.18

The structure in POSCAR format:
```
ZrBrCl2
1.0
-0.723 -1.296 -3.177
3.539 -1.041 -0.380
-1.720 -7.042 3.265
Br Zr Cl
1 1 2
direct
0.500 0.500 0.671
0.000 0.000 0.419
0.000 0.000 0.112
0.500 0.500 0.298
```

(6)
LiHfMo2 after structural relaxation. Source: Alexandria via LeMat-Bulk, functional PBE.

Output
Offset from the most stable computed form, meV/atom: 145
Total magnetic moment, μB/cell: 0.00
ΔH_f (0 K), eV/atom: 0.696
Crystal system: tetragonal

The structure in POSCAR format:
```
LiHfMo2
1.0
7.235 0.000 0.000
0.000 7.235 0.000
3.618 3.618 2.566
Mo Hf Li
4 2 2
direct
0.593 0.125 0.250
0.157 0.625 0.250
0.375 0.407 0.750
0.875 0.843 0.750
0.000 0.000 0.000
0.750 0.250 0.500
0.500 0.500 0.000
0.250 0.750 0.500
```

DFT total energy (eV/atom)
-3.1357 -4.8502 -1.4929 -5.5466 -4.5233 -7.6862